1.
The following is a PBE calculation of a relaxed structure of K3Ga2S4, from Alexandria via LeMat-Bulk.

Values from the calculation:
As for the density of states at the Fermi level: 6.5 states/eV/cell. As for the formation energy from raw total energies: -8.5 eV/f.u. For the total energy, the calculation gives -3.8152 eV/atom. As for the total magnetic moment: 0.0000 μB per atom.

Unit cell a=8.374 b=8.374 c=7.608 alpha=95.05 beta=95.05 gamma=77.85
Fractional positions:
K 0.108 0.892 0.750
K 0.236 0.506 0.406
K 0.494 0.764 0.094
K 0.506 0.236 0.906
K 0.764 0.494 0.594
K 0.892 0.108 0.250
Ga 0.088 0.323 0.927
Ga 0.323 0.088 0.427
Ga 0.677 0.912 0.573
Ga 0.912 0.677 0.073
S 0.118 0.233 0.610
S 0.187 0.571 0.992
S 0.233 0.118 0.110
S 0.429 0.813 0.508
S 0.571 0.187 0.492
S 0.767 0.882 0.890
S 0.813 0.429 0.008
S 0.882 0.767 0.390

2.
The following is a PBE calculation of a relaxed structure of TiV3Se6, from Alexandria via LeMat-Bulk.

Values from the calculation:
As for the density of states at the Fermi level: 11.5 states/eV/cell. As for the formation energy from raw total energies: -6.6 eV/f.u. For the total energy, the calculation gives -6.2740 eV/atom. As for the total magnetic moment: 0.1850 μB per atom.

Unit cell a=10.475 b=3.502 c=10.680 alpha=90.00 beta=110.71 gamma=90.00
Fractional positions:
Ti 0.061 0.250 0.197
Ti 0.939 0.750 0.803
V 0.115 0.250 0.560
V 0.322 0.750 0.993
V 0.457 0.250 0.383
V 0.543 0.750 0.617
V 0.678 0.250 0.007
V 0.885 0.750 0.440
Se 0.092 0.750 0.391
Se 0.111 0.250 0.968
Se 0.176 0.750 0.745
Se 0.279 0.750 0.222
Se 0.370 0.250 0.569
Se 0.487 0.250 0.124
Se 0.513 0.750 0.876
Se 0.630 0.750 0.431
Se 0.721 0.250 0.778
Se 0.824 0.250 0.255
Se 0.889 0.750 0.032
Se 0.908 0.250 0.609